The following is a DFT calculation (PBE) of a relaxed SrTh4As5 crystal.

Computed properties:
Its volume is 27.93 Å³ per atom. The value obtained for the energy of formation from the pure elements is -13.74 eV/f.u. The density of states at the Fermi level comes out at 5.3 states/eV per cell.

Cell: 7.4419 7.4419 10.5265 Å, 118.25 118.25 33.44°
Fractional positions:
Sr 0.0000 0.0000 0.0000
Th 0.2021 0.2021 0.7973
Th 0.4033 0.4033 0.6017
Th 0.5967 0.5967 0.3983
Th 0.7979 0.7979 0.2027
As 0.0000 0.0000 0.5000
As 0.2016 0.2016 0.3068
As 0.3930 0.3930 0.1034
As 0.6070 0.6070 0.8966
As 0.7984 0.7984 0.6932

---

The following is a DFT calculation (PBE) of a relaxed Sr4Th3TiAs8 crystal.

Computed properties:
Its volume is 28.32 Å³ per atom. The value obtained for the energy of formation from the pure elements is -19.30 eV/f.u. The density of states at the Fermi level comes out at 1.0 states/eV per cell.

Cell: 8.7052 8.7052 8.7052 Å, 58.75 58.75 58.75°
Fractional positions:
Sr 0.0000 0.0000 0.0000
Sr 0.0000 0.5000 0.5000
Sr 0.5000 0.0000 0.5000
Sr 0.5000 0.5000 0.0000
Th 0.0000 0.0000 0.5000
Th 0.0000 0.5000 0.0000
Th 0.5000 0.0000 0.0000
Ti 0.5000 0.5000 0.5000
As 0.2432 0.2432 0.2432
As 0.2594 0.7284 0.7284
As 0.2716 0.2716 0.7406
As 0.2716 0.7406 0.2716
As 0.7284 0.2594 0.7284
As 0.7284 0.7284 0.2594
As 0.7406 0.2716 0.2716
As 0.7568 0.7568 0.7568

---

- Which of these has the highest energy of formation from the pure elements?
  SrTh4As5